# 1
The following is a GGA-PBE calculation of a relaxed structure of LaTe2Cl, from Alexandria via LeMat-Bulk.

Results
total magnetization = 0.000 μB/atom
mass density = 5.9 Mg/m³
energy relative to the elements, uncorrected = -1.2444 eV per atom

Structure (extended XYZ):
```
4
Lattice="4.455 -0.004 0.000 0.003 4.455 0.000 0.000 0.000 6.123" Properties=species:S:1:pos:R:3 pbc="T T T"
Cl 2.229 2.225 1.531
La 2.229 2.225 4.592
Te 0.000 0.000 5.983
Te 0.000 0.000 3.202
```



# 2
The following is a GGA-PBE calculation of a relaxed structure of La4Te3Cl4, from Alexandria via LeMat-Bulk.

Results
total magnetization = 0.000 μB/atom
mass density = 5.6 Mg/m³
energy relative to the elements, uncorrected = -1.9283 eV per atom

Structure (extended XYZ):
```
11
Lattice="4.210 0.000 0.000 0.000 8.950 0.000 -2.105 -4.475 8.455" Properties=species:S:1:pos:R:3 pbc="T T T"
Cl 0.000 1.698 5.468
Te 2.105 4.475 6.706
La 2.105 1.991 0.000
Te 0.000 4.475 0.000
Cl 2.105 6.173 2.986
Cl 0.000 -1.698 5.468
Cl 2.105 2.777 2.986
Te 0.000 0.000 1.749
La 2.105 6.959 0.000
La 0.000 4.475 4.250
La 2.105 0.000 4.205
```



# 3
The following is a GGA-PBE calculation of a relaxed structure of LaTe2Cl, from Alexandria via LeMat-Bulk.

Results
total magnetization = 0.000 μB/atom
mass density = 5.8 Mg/m³
energy relative to the elements, uncorrected = -1.0714 eV per atom

Structure (extended XYZ):
```
4
Lattice="6.302 -0.004 -0.002 2.403 5.825 0.002 -3.773 -3.778 3.348" Properties=species:S:1:pos:R:3 pbc="T T T"
Te 3.456 -0.425 1.673
La 1.893 2.748 1.675
Te 8.560 5.725 0.000
Cl 4.081 2.729 0.000
```



# 4
The following is a GGA-PBE calculation of a relaxed structure of LaTe3Cl, from Alexandria via LeMat-Bulk.

Results
total magnetization = 0.000 μB/atom
mass density = 5.9 Mg/m³
energy relative to the elements, uncorrected = -0.2781 eV per atom

Structure (extended XYZ):
```
5
Lattice="5.404 0.000 0.000 0.000 5.404 0.000 0.000 0.000 5.404" Properties=species:S:1:pos:R:3 pbc="T T T"
Cl 0.000 0.000 0.000
Te 0.000 0.000 2.702
Te 0.000 2.702 0.000
Te 2.702 0.000 0.000
La 2.702 2.702 2.702
```



mass density of number 2 (La4Te3Cl4)?
5.6 Mg/m³



Number 1 is which compound?
LaTe2Cl



total magnetization of number 3 (LaTe2Cl)?
0.000 μB/atom